(1)
# BaCoCu2 (GGA-PBEsol, optimized geometry)
data_BaCoCu2
_space_group_name_H-M_alt 'P 1'
_space_group_IT_number 1
_cell_length_a 4.060
_cell_length_b 5.073
_cell_length_c 5.073
_cell_angle_alpha 67.68
_cell_angle_beta 66.41
_cell_angle_gamma 66.41
loop_
_space_group_symop_operation_xyz
'x,y,z'
loop_
_atom_site_label
_atom_site_type_symbol
_atom_site_fract_x
_atom_site_fract_y
_atom_site_fract_z
Ba1 Ba 0.500 0.000 0.000
Cu1 Cu 0.666 0.334 0.334
Cu2 Cu 0.334 0.666 0.666
Co1 Co 0.000 0.500 0.500
# Electronic total energy in eV per atom: -4.0293
# Energy above the most stable polymorph in this dataset in meV per atom: 0.0
# ΔH_f (0 K) in eV/atom: 0.609
# Symmetry: Immm, No. 71
# Total magnetization in μB per formula unit: 1.5

=====

(2)
# Ba2NdCoCu2O7 (GGA-PBEsol, optimized geometry)
data_Ba2NdCoCu2O7
_space_group_name_H-M_alt 'P 1'
_space_group_IT_number 1
_cell_length_a 3.885
_cell_length_b 3.876
_cell_length_c 11.597
_cell_angle_alpha 90.00
_cell_angle_beta 90.00
_cell_angle_gamma 90.00
loop_
_space_group_symop_operation_xyz
'x,y,z'
loop_
_atom_site_label
_atom_site_type_symbol
_atom_site_fract_x
_atom_site_fract_y
_atom_site_fract_z
Ba1 Ba 0.500 0.500 0.185
Ba2 Ba 0.500 0.500 0.815
O1 O 0.500 0.000 0.632
O2 O 0.000 0.000 0.849
O3 O 0.000 0.500 0.630
O4 O 0.000 0.500 0.000
O5 O 0.500 0.000 0.368
O6 O 0.000 0.500 0.370
O7 O 0.000 0.000 0.151
Co1 Co 0.000 0.000 0.000
Cu1 Cu 0.000 0.000 0.642
Cu2 Cu 0.000 0.000 0.358
Nd1 Nd 0.500 0.500 0.500
# Electronic total energy in eV per atom: -6.7114
# Formation energy from raw total energies in eV per atom: -1.89
# Symmetry: Pmmm, No. 47
# Total magnetization in μB per formula unit: 2.6

=====

(3)
# Ba2PrCoCu2O7 (GGA-PBEsol, optimized geometry)
data_Ba2PrCoCu2O7
_space_group_name_H-M_alt 'P 1'
_space_group_IT_number 1
_cell_length_a 3.895
_cell_length_b 3.884
_cell_length_c 11.616
_cell_angle_alpha 90.00
_cell_angle_beta 90.00
_cell_angle_gamma 90.00
loop_
_space_group_symop_operation_xyz
'x,y,z'
loop_
_atom_site_label
_atom_site_type_symbol
_atom_site_fract_x
_atom_site_fract_y
_atom_site_fract_z
O1 O 0.000 0.500 0.368
O2 O 0.000 0.500 0.632
O3 O 0.500 0.000 0.634
O4 O 0.000 0.500 0.000
O5 O 0.000 0.000 0.151
O6 O 0.000 0.000 0.849
O7 O 0.500 0.000 0.366
Ba1 Ba 0.500 0.500 0.184
Ba2 Ba 0.500 0.500 0.816
Pr1 Pr 0.500 0.500 0.500
Co1 Co 0.000 0.000 0.000
Cu1 Cu 0.000 0.000 0.356
Cu2 Cu 0.000 0.000 0.644
# Electronic total energy in eV per atom: -6.7025
# Formation energy from raw total energies in eV per atom: -1.88
# Symmetry: Pmmm, No. 47
# Total magnetization in μB per formula unit: 2.6

=====

(4)
# Ba2SmCoCu2O7 (GGA-PBEsol, optimized geometry)
data_Ba2SmCoCu2O7
_space_group_name_H-M_alt 'P 1'
_space_group_IT_number 1
_cell_length_a 3.868
_cell_length_b 3.864
_cell_length_c 11.575
_cell_angle_alpha 90.00
_cell_angle_beta 90.00
_cell_angle_gamma 90.00
loop_
_space_group_symop_operation_xyz
'x,y,z'
loop_
_atom_site_label
_atom_site_type_symbol
_atom_site_fract_x
_atom_site_fract_y
_atom_site_fract_z
O1 O 0.500 0.000 0.371
O2 O 0.000 0.500 0.000
O3 O 0.000 0.000 0.848
O4 O 0.000 0.500 0.373
O5 O 0.000 0.500 0.627
O6 O 0.000 0.000 0.152
O7 O 0.500 0.000 0.629
Sm1 Sm 0.500 0.500 0.500
Co1 Co 0.000 0.000 0.000
Cu1 Cu 0.000 0.000 0.639
Cu2 Cu 0.000 0.000 0.361
Ba1 Ba 0.500 0.500 0.814
Ba2 Ba 0.500 0.500 0.186
# Electronic total energy in eV per atom: -6.7209
# Formation energy from raw total energies in eV per atom: -1.91
# Symmetry: Pmmm, No. 47
# Total magnetization in μB per formula unit: 2.6

=====

(5)
# Ba4Sr4CoCu7O24 (GGA-PBEsol, optimized geometry)
data_Ba4Sr4CoCu7O24
_space_group_name_H-M_alt 'P 1'
_space_group_IT_number 1
_cell_length_a 7.759
_cell_length_b 7.759
_cell_length_c 7.763
_cell_angle_alpha 90.10
_cell_angle_beta 90.10
_cell_angle_gamma 89.98
loop_
_space_group_symop_operation_xyz
'x,y,z'
loop_
_atom_site_label
_atom_site_type_symbol
_atom_site_fract_x
_atom_site_fract_y
_atom_site_fract_z
O1 O 0.996 0.996 0.260
O2 O 0.249 0.000 0.987
O3 O 0.496 0.496 0.750
O4 O 0.751 0.498 0.504
O5 O 0.002 0.002 0.743
O6 O 0.001 0.751 0.998
O7 O 0.242 0.000 0.507
O8 O 0.994 0.506 0.251
O9 O 0.250 0.500 0.988
O10 O 0.750 0.499 0.997
O11 O 0.495 0.005 0.749
O12 O 0.005 0.495 0.749
O13 O 0.506 0.506 0.250
O14 O 0.751 0.001 0.998
O15 O 0.000 0.759 0.502
O16 O 0.498 0.751 0.504
O17 O 0.759 0.000 0.502
O18 O 0.506 0.994 0.251
O19 O 0.000 0.249 0.987
O20 O 0.500 0.249 0.512
O21 O 0.500 0.250 0.988
O22 O 0.499 0.750 0.997
O23 O 0.000 0.242 0.507
O24 O 0.249 0.500 0.512
Cu1 Cu 0.000 0.501 0.500
Cu2 Cu 0.500 0.000 0.999
Cu3 Cu 0.501 0.000 0.500
Cu4 Cu 0.500 0.500 0.000
Cu5 Cu 0.500 0.500 0.500
Cu6 Cu 0.000 0.000 0.001
Cu7 Cu 0.000 0.500 0.999
Co1 Co 0.002 0.002 0.506
Ba1 Ba 0.252 0.252 0.248
Ba2 Ba 0.749 0.251 0.249
Ba3 Ba 0.749 0.749 0.751
Ba4 Ba 0.251 0.749 0.249
Sr1 Sr 0.252 0.252 0.752
Sr2 Sr 0.252 0.747 0.752
Sr3 Sr 0.748 0.748 0.248
Sr4 Sr 0.747 0.252 0.752
# Electronic total energy in eV per atom: -5.8820
# Formation energy from raw total energies in eV per atom: -1.38
# Symmetry: Cm, No. 8
# Total magnetization in μB per formula unit: 6.1

=====

(6)
# Ba2TlCoCu (GGA-PBEsol, optimized geometry)
data_Ba2TlCoCu
_space_group_name_H-M_alt 'P 1'
_space_group_IT_number 1
_cell_length_a 4.940
_cell_length_b 5.607
_cell_length_c 5.607
_cell_angle_alpha 90.00
_cell_angle_beta 90.00
_cell_angle_gamma 90.00
loop_
_space_group_symop_operation_xyz
'x,y,z'
loop_
_atom_site_label
_atom_site_type_symbol
_atom_site_fract_x
_atom_site_fract_y
_atom_site_fract_z
Tl1 Tl 0.500 0.000 0.000
Ba1 Ba 0.000 0.500 0.000
Ba2 Ba 0.000 0.000 0.500
Cu1 Cu 0.500 0.500 0.500
Co1 Co 0.000 0.000 0.000
# Electronic total energy in eV per atom: -3.5260
# ΔH_f (0 K) in eV/atom: 0.274
# Symmetry: P4/mmm, No. 123
# Total magnetization in μB per formula unit: 0.0

=====

(7)
# BaEr2CoO5 (GGA-PBEsol, optimized geometry)
data_BaEr2CoO5
_space_group_name_H-M_alt 'P 1'
_space_group_IT_number 1
_cell_length_a 3.643
_cell_length_b 5.680
_cell_length_c 6.589
_cell_angle_alpha 115.53
_cell_angle_beta 106.05
_cell_angle_gamma 90.00
loop_
_space_group_symop_operation_xyz
'x,y,z'
loop_
_atom_site_label
_atom_site_type_symbol
_atom_site_fract_x
_atom_site_fract_y
_atom_site_fract_z
O1 O 0.651 0.391 0.302
O2 O 0.349 0.609 0.698
O3 O 0.349 0.089 0.698
O4 O 0.651 0.911 0.302
O5 O 0.000 0.000 0.000
Ba1 Ba 0.000 0.500 0.000
Er1 Er 0.797 0.797 0.593
Er2 Er 0.203 0.203 0.407
Co1 Co 0.500 0.000 0.000
# Electronic total energy in eV per atom: -7.9081
# Energy above the most stable polymorph in this dataset in meV per atom: 0.0
# Formation energy from raw total energies in eV per atom: -2.80
# Symmetry: Immm, No. 71
# Total magnetization in μB per formula unit: 2.2

=====

(8)
# BaEr2CoO5 (GGA-PBEsol, optimized geometry)
data_BaEr2CoO5
_space_group_name_H-M_alt 'P 1'
_space_group_IT_number 1
_cell_length_a 5.634
_cell_length_b 6.934
_cell_length_c 12.077
_cell_angle_alpha 90.00
_cell_angle_beta 90.00
_cell_angle_gamma 90.00
loop_
_space_group_symop_operation_xyz
'x,y,z'
loop_
_atom_site_label
_atom_site_type_symbol
_atom_site_fract_x
_atom_site_fract_y
_atom_site_fract_z
Er1 Er 0.750 0.621 0.292
Er2 Er 0.250 0.121 0.208
Er3 Er 0.250 0.405 0.425
Er4 Er 0.750 0.905 0.075
Er5 Er 0.750 0.595 0.575
Er6 Er 0.250 0.095 0.925
Er7 Er 0.750 0.879 0.792
Er8 Er 0.250 0.379 0.708
O1 O 0.000 0.863 0.225
O2 O 0.500 0.637 0.725
O3 O 0.004 0.670 0.436
O4 O 0.000 0.637 0.725
O5 O 0.500 0.137 0.775
O6 O 0.496 0.670 0.436
O7 O 0.750 0.577 0.104
O8 O 0.504 0.330 0.564
O9 O 0.750 0.923 0.604
O10 O 0.500 0.863 0.225
O11 O 0.496 0.830 0.936
O12 O 0.004 0.830 0.936
O13 O 0.500 0.363 0.275
O14 O 0.000 0.137 0.775
O15 O 0.000 0.363 0.275
O16 O 0.250 0.423 0.896
O17 O 0.996 0.170 0.064
O18 O 0.996 0.330 0.564
O19 O 0.250 0.077 0.396
O20 O 0.504 0.170 0.064
Ba1 Ba 0.250 0.920 0.600
Ba2 Ba 0.750 0.080 0.400
Ba3 Ba 0.250 0.580 0.100
Ba4 Ba 0.750 0.420 0.900
Co1 Co 0.750 0.309 0.153
Co2 Co 0.250 0.809 0.347
Co3 Co 0.750 0.191 0.653
Co4 Co 0.250 0.691 0.847
# Electronic total energy in eV per atom: -7.8932
# Energy above the most stable polymorph in this dataset in meV per atom: 14.9
# Formation energy from raw total energies in eV per atom: -2.78
# Symmetry: Pnma, No. 62
# Total magnetization in μB per formula unit: 3.0

=====

(9)
# BaEu2CoO5 (GGA-PBEsol, optimized geometry)
data_BaEu2CoO5
_space_group_name_H-M_alt 'P 1'
_space_group_IT_number 1
_cell_length_a 3.785
_cell_length_b 5.794
_cell_length_c 6.547
_cell_angle_alpha 116.27
_cell_angle_beta 106.80
_cell_angle_gamma 90.00
loop_
_space_group_symop_operation_xyz
'x,y,z'
loop_
_atom_site_label
_atom_site_type_symbol
_atom_site_fract_x
_atom_site_fract_y
_atom_site_fract_z
O1 O 0.368 0.598 0.735
O2 O 0.000 0.500 0.000
O3 O 0.368 0.137 0.735
O4 O 0.632 0.863 0.265
O5 O 0.632 0.402 0.265
Eu1 Eu 0.208 0.708 0.416
Eu2 Eu 0.792 0.292 0.584
Ba1 Ba 0.000 0.000 0.000
Co1 Co 0.500 0.500 0.000
# Electronic total energy in eV per atom: -8.7925
# Formation energy from raw total energies in eV per atom: -2.43
# Symmetry: Immm, No. 71
# Total magnetization in μB per formula unit: 12.5

=====

(10)
# Ba2CoF6 (GGA-PBEsol, optimized geometry)
data_Ba2CoF6
_space_group_name_H-M_alt 'P 1'
_space_group_IT_number 1
_cell_length_a 4.079
_cell_length_b 4.079
_cell_length_c 8.520
_cell_angle_alpha 103.85
_cell_angle_beta 103.85
_cell_angle_gamma 90.00
loop_
_space_group_symop_operation_xyz
'x,y,z'
loop_
_atom_site_label
_atom_site_type_symbol
_atom_site_fract_x
_atom_site_fract_y
_atom_site_fract_z
F1 F 0.000 0.500 0.000
F2 F 0.622 0.622 0.243
F3 F 0.750 0.250 0.500
F4 F 0.250 0.750 0.500
F5 F 0.500 0.000 0.000
F6 F 0.378 0.378 0.757
Ba1 Ba 0.150 0.150 0.300
Ba2 Ba 0.850 0.850 0.700
Co1 Co 0.500 0.500 0.000
# Electronic total energy in eV per atom: -5.7369
# Formation energy from raw total energies in eV per atom: -3.11
# Symmetry: I4/mmm, No. 139
# Total magnetization in μB per formula unit: 3.0

=====

(11)
# BaCo3F (GGA-PBEsol, optimized geometry)
data_BaCo3F
_space_group_name_H-M_alt 'P 1'
_space_group_IT_number 1
_cell_length_a 4.309
_cell_length_b 4.309
_cell_length_c 4.309
_cell_angle_alpha 90.00
_cell_angle_beta 90.00
_cell_angle_gamma 90.00
loop_
_space_group_symop_operation_xyz
'x,y,z'
loop_
_atom_site_label
_atom_site_type_symbol
_atom_site_fract_x
_atom_site_fract_y
_atom_site_fract_z
Ba1 Ba 0.500 0.500 0.500
Co1 Co 0.500 0.000 0.000
Co2 Co 0.000 0.500 0.000
Co3 Co 0.000 0.000 0.500
F1 F 0.000 0.000 0.000
# Electronic total energy in eV per atom: -4.7850
# Formation energy from raw total energies in eV per atom: 0.67
# Symmetry: Pm-3m, No. 221
# Total magnetization in μB per formula unit: 4.1

=====

(12)
# BaLiCoF6 (GGA-PBEsol, optimized geometry)
data_BaLiCoF6
_space_group_name_H-M_alt 'P 1'
_space_group_IT_number 1
_cell_length_a 5.381
_cell_length_b 8.553
_cell_length_c 9.877
_cell_angle_alpha 90.00
_cell_angle_beta 90.00
_cell_angle_gamma 90.27
loop_
_space_group_symop_operation_xyz
'x,y,z'
loop_
_atom_site_label
_atom_site_type_symbol
_atom_site_fract_x
_atom_site_fract_y
_atom_site_fract_z
F1 F 0.072 0.689 0.857
F2 F 0.072 0.189 0.643
F3 F 0.835 0.444 0.585
F4 F 0.333 0.970 0.403
F5 F 0.876 0.209 0.409
F6 F 0.538 0.202 0.009
F7 F 0.462 0.298 0.509
F8 F 0.876 0.709 0.091
F9 F 0.667 0.530 0.903
F10 F 0.373 0.740 0.245
F11 F 0.928 0.311 0.143
F12 F 0.538 0.702 0.491
F13 F 0.165 0.556 0.415
F14 F 0.627 0.260 0.755
F15 F 0.124 0.291 0.909
F16 F 0.333 0.470 0.097
F17 F 0.462 0.798 0.991
F18 F 0.124 0.791 0.591
F19 F 0.835 0.944 0.915
F20 F 0.627 0.760 0.745
F21 F 0.373 0.240 0.255
F22 F 0.928 0.811 0.357
F23 F 0.165 0.056 0.085
F24 F 0.667 0.030 0.597
Ba1 Ba 0.691 0.996 0.193
Ba2 Ba 0.309 0.004 0.807
Ba3 Ba 0.309 0.504 0.693
Ba4 Ba 0.691 0.496 0.307
Co1 Co 0.241 0.765 0.416
Co2 Co 0.241 0.265 0.084
Co3 Co 0.759 0.235 0.584
Co4 Co 0.759 0.735 0.916
Li1 Li 0.221 0.171 0.428
Li2 Li 0.221 0.671 0.072
Li3 Li 0.779 0.329 0.928
Li4 Li 0.779 0.829 0.572
# Electronic total energy in eV per atom: -5.3913
# Formation energy from raw total energies in eV per atom: -2.79
# Symmetry: P2_1/c, No. 14
# Total magnetization in μB per formula unit: 0.2